First-principles (PBE) data for crystalline SrZr2Hg at its relaxed geometry, as listed in the Alexandria database.

The structure belongs to space group Imm2 (No. 44); the cell edges are 3.3955, 5.7315 and 11.0188 Å and the angles 90.00°, 90.00° and 90.00°. The asymmetric unit holds Sr at (0.0000, 0.0000, 0.0000), Zr at (0.0000, 0.0000, 0.5205), Zr at (0.0000, 0.5000, 0.7885) and Hg at (0.0000, 0.5000, 0.2460).

The value obtained for the formation energy is 0.301 eV per atom. The value obtained for the uncorrected energy is -4.469 eV per atom. The value obtained for the total magnetic moment is 0.201 μB/atom.